# BaIrSeBr2 PBE optimized geometry
# Total moment ... 0.00 μB per formula unit
# E_form (uncorrected) ... -3.78 eV per formula unit
# Crystal system ... tetragonal
# Energy above the lowest structure with this stoichiometry ... 0 meV per atom
data_BaIrSeBr2
_cell_length_a 5.265
_cell_length_b 5.265
_cell_length_c 4.969
_cell_angle_alpha 90.00
_cell_angle_beta 90.00
_cell_angle_gamma 90.00
_symmetry_space_group_name_H-M 'P 4/m m m'
_symmetry_Int_Tables_number 123
_symmetry_space_group_name_Hall '-P 4 2'
loop_
_atom_site_label
_atom_site_type_symbol
_atom_site_fract_x
_atom_site_fract_y
_atom_site_fract_z
Ba1 Ba 0.000 0.000 0.000
Ir1 Ir 0.500 0.500 0.500
Se1 Se 0.500 0.500 0.000
Br1 Br 0.000 0.500 0.500